# 1
# DyPdRh

An optimized crystal structure of DyPdRh (PBE, the Alexandria database).

Results
ΔE_f   -431 meV per atom
Energy above the lowest structure with this stoichiometry   193.4 meV per atom

Cell: 3.550 3.550 19.482 Å, 90.00 90.00 90.00°
Space group I4/mmm (No. 139)
Symmetry-distinct sites (fractional):
Dy: 0.000 0.000 0.134 [4 per cell]
Pd: 0.000 0.000 0.434 [4 per cell]
Rh: 0.000 0.000 0.280 [4 per cell]

# 2
# Na3Ho2BiTe6

An optimized crystal structure of Na3Ho2BiTe6 (PBE, the Alexandria database).

Results
ΔE_f (raw)   -101.3 kJ/mol of atoms

Cell: 7.714 13.365 8.001 Å, 90.00 108.77 90.00°
Space group C2/m (No. 12)
Symmetry-distinct sites (fractional):
Na: 0.000 0.000 0.000 [2 per cell]
Na: 0.000 0.339 0.000 [4 per cell]
Ho: 0.000 0.168 0.500 [4 per cell]
Bi: 0.000 0.500 0.500 [2 per cell]
Te: 0.238 0.000 0.731 [4 per cell]
Te: 0.247 0.331 0.733 [8 per cell]

# 3
# La2MnBe3Ni12

An optimized crystal structure of La2MnBe3Ni12 (PBE, the Alexandria database).

Results
ΔE_f   224 meV per atom

Cell: 7.5000 7.5000 15.9634 Å, 90.00 90.00 120.00°
Space group R-3m (No. 166, hexagonal axes)
Symmetry-distinct sites (fractional):
La: 0.0000 0.0000 0.1086 [6 per cell]
Mn: 0.0000 0.0000 0.5000 [3 per cell]
Be: 0.0000 0.5000 0.0000 [9 per cell]
Ni: 0.0108 0.5054 0.8717 [18 per cell]
Ni: 0.0474 0.5237 0.3652 [18 per cell]

# 4
# DyPuThCd

An optimized crystal structure of DyPuThCd (PBE, the Alexandria database).

Results
ΔE_f   96 meV per atom

Cell: 7.654 7.654 7.654 Å, 90.00 90.00 90.00°
Space group F-43m (No. 216)
Symmetry-distinct sites (fractional):
Dy: 0.000 0.000 0.000 [4 per cell]
Pu: 0.250 0.250 0.750 [4 per cell]
Th: 0.000 0.000 0.500 [4 per cell]
Cd: 0.250 0.250 0.250 [4 per cell]

# 5
# InP2IrCl

An optimized crystal structure of InP2IrCl (PBE, the Alexandria database).

Results
ΔE_f (raw)   23.3 kJ/mol of atoms
Energy above the lowest structure with this stoichiometry   0.0 meV per atom

Cell: 4.573 4.573 5.777 Å, 90.00 90.00 90.00°
Space group P4/mmm (No. 123)
Symmetry-distinct sites (fractional):
In: 0.000 0.000 0.000 [1 per cell]
P: 0.000 0.500 0.500 [2 per cell]
Ir: 0.500 0.500 0.500 [1 per cell]
Cl: 0.500 0.500 0.000 [1 per cell]

# 6
# Nd3Sm2Tl

An optimized crystal structure of Nd3Sm2Tl (PBE, the Alexandria database).

Results
ΔE_f   -71 meV per atom
Energy above the lowest structure with this stoichiometry   37.5 meV per atom

Cell: 17.551 6.921 6.613 Å, 90.00 99.31 90.00°
Space group C2/c (No. 15)
Symmetry-distinct sites (fractional):
Nd: 0.000 0.232 0.250 [4 per cell]
Nd: 0.167 0.115 0.042 [8 per cell]
Sm: 0.161 0.395 0.575 [8 per cell]
Tl: 0.000 0.276 0.750 [4 per cell]

| no. | size of the total moment (μB/cell) |
| --- | --- |
| 1 | 0.00 |
| 2 | 0.00 |
| 3 | 12.77 |
| 4 | 26.50 |
| 5 | 0.00 |
| 6 | 0.00 |